Entry 1:
The following is a DFT calculation (SCAN) of a PBEsol-optimized structure of CaCdHg2.

Cell lengths 7.1323, 7.1323, 7.1323 Å; angles 90.00, 90.00, 90.00 degrees
With the nearest neighbours (Å) after each atom.
Space group F-43m (No. 216)
Symmetry-distinct sites (fractional):
Ca 0.0000 0.0000 0.0000 [4 per cell]  4 Hg 3.09, 4 Cd 3.09
Cd 0.2500 0.2500 0.7500 [4 per cell]  4 Hg 3.09, 4 Ca 3.09
Hg 0.0000 0.0000 0.5000 [4 per cell]  4 Cd 3.09, 4 Hg 3.09
Hg 0.2500 0.2500 0.2500 [4 per cell]  4 Hg 3.09, 4 Ca 3.09

Calculated values
The value obtained for the size of the total moment is 0.00 μB/cell. For the formation energy, the calculation gives -371 meV/atom.

Entry 2:
The following is a DFT calculation (SCAN) of a PBEsol-optimized structure of FeHgW2.

Cell lengths 3.2680, 4.4609, 8.4944 Å; angles 90.00, 90.00, 90.00 degrees
With the nearest neighbours (Å) after each atom.
Space group Imm2 (No. 44)
Symmetry-distinct sites (fractional):
Fe 0.0000 0.0000 0.0000 [2 per cell]  6 W 2.53-2.77, 2 Hg 2.68
Hg 0.0000 0.5000 0.7496 [2 per cell]  2 Fe 2.68, 8 W 2.77-2.93
W 0.0000 0.0000 0.5268 [2 per cell]  2 W 2.65, 4 Fe 2.77, 4 Hg 2.87-2.93
W 0.0000 0.5000 0.2721 [2 per cell]  2 Fe 2.53, 2 W 2.65, 4 Hg 2.77

Calculated values
The value obtained for the size of the total moment is 5.19 μB/cell. For the formation energy, the calculation gives 610 meV/atom.

Entry 3:
The following is a DFT calculation (SCAN) of a PBEsol-optimized structure of CdTeWI2.

Cell lengths 5.5159, 5.5159, 5.1940 Å; angles 90.00, 90.00, 90.00 degrees
With the nearest neighbours (Å) after each atom.
Space group P4/mmm (No. 123)
Symmetry-distinct sites (fractional):
Cd 0.0000 0.0000 0.0000 [1 per cell]  8 I 3.79, 4 Te 3.90
Te 0.5000 0.5000 0.0000 [1 per cell]  2 W 2.60
W 0.5000 0.5000 0.5000 [1 per cell]  2 Te 2.60, 4 I 2.76
I 0.0000 0.5000 0.5000 [2 per cell]  2 W 2.76

Calculated values
The value obtained for the size of the total moment is 1.93 μB/cell. As for the uncorrected formation energy: 0.574 eV/atom.

Entry 4:
The following is a DFT calculation (SCAN) of a PBEsol-optimized structure of PtBr2.

Cell lengths 12.5243, 3.5908, 8.5252 Å; angles 90.00, 119.32, 90.00 degrees
With the nearest neighbours (Å) after each atom.
Space group C2/m (No. 12)
Symmetry-distinct sites (fractional):
Pt 0.1385 0.0000 0.2436 [4 per cell]  4 Br 2.43
Br 0.0342 0.5000 0.3056 [4 per cell]  2 Pt 2.43
Br 0.2458 0.5000 0.1877 [4 per cell]  2 Pt 2.43

Calculated values
The value obtained for the size of the total moment is 0.00 μB/cell. As for the uncorrected formation energy: -0.203 eV/atom.

Entry 5:
The following is a DFT calculation (SCAN) of a PBEsol-optimized structure of HoH4Pd.

Cell lengths 3.6549, 11.7589, 4.9250 Å; angles 90.00, 90.00, 90.00 degrees
With the nearest neighbours (Å) after each atom.
Space group Cmcm (No. 63)
Symmetry-distinct sites (fractional):
Ho 0.0000 0.1381 0.2500 [4 per cell]  6 H 2.26-2.34
H 0.0000 0.0892 0.7500 [4 per cell]  2 Pd 1.83
H 0.0000 0.2996 0.5262 [8 per cell]  1 Pd 1.81
H 0.0000 0.5000 0.0000 [4 per cell]  2 Pd 1.70
Pd 0.0000 0.4009 0.2500 [4 per cell]  6 H 1.70-1.83

Calculated values
The value obtained for the size of the total moment is 0.00 μB/cell. For the energy, the calculation gives -16.433 eV/atom.

Entry 6:
The following is a DFT calculation (SCAN) of a PBEsol-optimized structure of Er4SiNi3.

Cell lengths 3.8221, 3.9582, 10.1223 Å; angles 90.00, 90.00, 90.00 degrees
With the nearest neighbours (Å) after each atom.
Space group Pmm2 (No. 25)
Symmetry-distinct sites (fractional):
Er 0.0000 0.0000 0.0000 [1 per cell]  6 Ni 2.83-2.84, 1 Si 2.99
Er 0.0000 0.5000 0.2773 [1 per cell]  7 Ni 2.84-2.93
Er 0.5000 0.0000 0.4910 [1 per cell]  5 Ni 2.86-2.87, 2 Si 2.88
Er 0.5000 0.5000 0.7806 [1 per cell]  4 Si 2.86, 3 Ni 2.89
Si 0.0000 0.0000 0.7044 [1 per cell]  2 Ni 2.42
Ni 0.0000 0.5000 0.5665 [1 per cell]  2 Si 2.42
Ni 0.5000 0.0000 0.2073 [1 per cell]  2 Ni 2.44
Ni 0.5000 0.5000 0.0658 [1 per cell]  2 Ni 2.44

Calculated values
The value obtained for the size of the total moment is 0.00 μB/cell. As for the uncorrected formation energy: -0.580 eV/atom.

Entry 7:
The following is a DFT calculation (SCAN) of a PBEsol-optimized structure of Ca2ZnAu.

Cell lengths 6.9173, 6.9173, 6.9173 Å; angles 90.00, 90.00, 90.00 degrees
With the nearest neighbours (Å) after each atom.
Space group F-43m (No. 216)
Symmetry-distinct sites (fractional):
Ca 0.0000 0.0000 0.0000 [4 per cell]  4 Ca 3.00, 4 Zn 3.00
Ca 0.2500 0.2500 0.2500 [4 per cell]  4 Ca 3.00, 4 Au 3.00
Zn 0.2500 0.2500 0.7500 [4 per cell]  4 Ca 3.00, 4 Au 3.00
Au 0.0000 0.0000 0.5000 [4 per cell]  4 Ca 3.00, 4 Zn 3.00

Calculated values
The value obtained for the size of the total moment is 0.00 μB/cell. For the formation energy, the calculation gives -430 meV/atom.

Entry 8:
The following is a DFT calculation (SCAN) of a PBEsol-optimized structure of SrCa3La.

Cell lengths 5.9488, 5.9488, 5.9488 Å; angles 90.00, 90.00, 90.00 degrees
With the nearest neighbours (Å) after each atom.
Space group Pm-3m (No. 221)
Symmetry-distinct sites (fractional):
Sr 0.0000 0.0000 0.0000 [1 per cell]  6 Ca 2.97
Ca 0.0000 0.0000 0.5000 [3 per cell]  2 Sr 2.97
La 0.5000 0.5000 0.5000 [1 per cell]  12 Ca 4.21

Calculated values
The value obtained for the size of the total moment is 1.13 μB/cell. For the formation energy, the calculation gives 797 meV/atom.

Entry 9:
The following is a DFT calculation (SCAN) of a PBEsol-optimized structure of Y2OsPb.

Cell lengths 3.4520, 4.5973, 6.1665 Å; angles 90.00, 90.00, 90.00 degrees
With the nearest neighbours (Å) after each atom.
Space group Pmm2 (No. 25)
Symmetry-distinct sites (fractional):
Y 0.0000 0.0000 0.0000 [1 per cell]  1 Os 2.67
Y 0.5000 0.5000 0.3281 [1 per cell]  2 Pb 2.93-3.23, 4 Os 2.95
Os 0.0000 0.0000 0.4328 [1 per cell]  5 Y 2.67-2.95
Pb 0.5000 0.5000 0.8035 [1 per cell]  6 Y 2.93-3.23

Calculated values
The value obtained for the size of the total moment is 0.00 μB/cell. For the formation energy, the calculation gives -2 meV/atom.

Entry 10:
The following is a DFT calculation (SCAN) of a PBEsol-optimized structure of Ba3Ga4O9.

Cell lengths 7.0278, 8.2740, 9.9509 Å; angles 85.28, 73.95, 73.84 degrees
With the nearest neighbours (Å) after each atom.
Space group P-1 (No. 2)
Symmetry-distinct sites (fractional):
Ba 0.0536 0.0562 0.1869 [2 per cell]  6 O 2.63-2.90
Ba 0.1789 0.5633 0.1599 [2 per cell]  6 O 2.61-2.75
Ba 0.2975 0.2181 0.4659 [2 per cell]  5 O 2.51-2.79
Ga 0.2593 0.7334 0.4332 [2 per cell]  4 O 1.82-1.89
Ga 0.3333 0.5580 0.7283 [2 per cell]  4 O 1.84-1.86
Ga 0.4063 0.1795 0.8032 [2 per cell]  4 O 1.84-1.89
Ga 0.4352 0.8160 0.9129 [2 per cell]  4 O 1.81-1.88
O 0.0352 0.8004 0.3640 [2 per cell]  1 Ga 1.82
O 0.1938 0.7206 0.6253 [2 per cell]  2 Ga 1.84-1.85
O 0.2210 0.3774 0.7712 [2 per cell]  2 Ga 1.84-1.85
O 0.2610 0.0286 0.8907 [2 per cell]  2 Ga 1.84-1.88
O 0.2817 0.6702 0.8945 [2 per cell]  2 Ga 1.86-1.88
O 0.3049 0.2357 0.1980 [2 per cell]  1 Ga 1.81
O 0.3892 0.5139 0.3620 [2 per cell]  2 Ga 1.85-1.89
O 0.4112 0.7916 0.1040 [2 per cell]  2 Ga 1.85-1.86
O 0.4280 0.8833 0.3794 [2 per cell]  2 Ga 1.89

Calculated values
The value obtained for the size of the total moment is 0.01 μB/cell. As for the uncorrected formation energy: -2.501 eV/atom.

Entry 11:
The following is a DFT calculation (SCAN) of a PBEsol-optimized structure of ZrAgBr4.

Cell lengths 8.3565, 8.3565, 8.3565 Å; angles 90.00, 90.00, 90.00 degrees
With the nearest neighbours (Å) after each atom.
Space group F-43m (No. 216)
Symmetry-distinct sites (fractional):
Zr 0.0000 0.0000 0.0000 [4 per cell]  12 Br 3.46, 4 Ag 3.62
Ag 0.2500 0.2500 0.2500 [4 per cell]  12 Br 3.46, 4 Zr 3.62
Br 0.1249 0.1249 0.6249 [16 per cell]  6 Br 2.95-2.96

Calculated values
The value obtained for the size of the total moment is 0.00 μB/cell. As for the uncorrected formation energy: 0.729 eV/atom.

Entry 12:
The following is a DFT calculation (SCAN) of a PBEsol-optimized structure of LaIr2Ru.

Cell lengths 6.5203, 6.5203, 6.5203 Å; angles 90.00, 90.00, 90.00 degrees
With the nearest neighbours (Å) after each atom.
Space group F-43m (No. 216)
Symmetry-distinct sites (fractional):
La 0.0000 0.0000 0.0000 [4 per cell]  4 Ru 2.82, 4 Ir 2.82
Ir 0.0000 0.0000 0.5000 [4 per cell]  4 Ir 2.82, 4 Ru 2.82
Ir 0.2500 0.2500 0.7500 [4 per cell]  4 La 2.82, 4 Ir 2.82
Ru 0.2500 0.2500 0.2500 [4 per cell]  4 La 2.82, 4 Ir 2.82

Calculated values
The value obtained for the size of the total moment is 10.55 μB/cell. For the formation energy, the calculation gives 351 meV/atom. As for the energy relative to the lowest polymorph listed for this composition: 0.3847 eV per atom.

Entry 13:
The following is a DFT calculation (SCAN) of a PBEsol-optimized structure of GaHS2Cl.

Cell lengths 4.6398, 4.6398, 4.9031 Å; angles 90.00, 90.00, 90.00 degrees
With the nearest neighbours (Å) after each atom.
Space group P4/mmm (No. 123)
Symmetry-distinct sites (fractional):
Ga 0.0000 0.0000 0.0000 [1 per cell]  4 S 2.32, 2 Cl 2.45
H 0.5000 0.5000 0.5000 [1 per cell]  4 Cl 3.28, 8 S 3.38
S 0.0000 0.5000 0.0000 [2 per cell]  2 Ga 2.32
Cl 0.0000 0.0000 0.5000 [1 per cell]  2 Ga 2.45

Calculated values
The value obtained for the size of the total moment is 2.71 μB/cell. For the energy, the calculation gives -8.813 eV/atom.

Entry 14:
The following is a DFT calculation (SCAN) of a PBEsol-optimized structure of MnCrTc.

Cell lengths 5.5490, 5.5490, 5.5490 Å; angles 90.00, 90.00, 90.00 degrees
With the nearest neighbours (Å) after each atom.
Space group F-43m (No. 216)
Symmetry-distinct sites (fractional):
Mn 0.0000 0.0000 0.0000 [4 per cell]  4 Cr 2.40
Cr 0.2500 0.2500 0.2500 [4 per cell]  4 Tc 2.40, 4 Mn 2.40
Tc 0.0000 0.0000 0.5000 [4 per cell]  4 Cr 2.40

Calculated values
The value obtained for the size of the total moment is 10.37 μB/cell. For the formation energy, the calculation gives 432 meV/atom. As for the energy relative to the lowest polymorph listed for this composition: 0.1401 eV per atom.

Entry 15:
The following is a DFT calculation (SCAN) of a PBEsol-optimized structure of TaMnMo.

Cell lengths 5.9088, 5.9088, 5.9088 Å; angles 90.00, 90.00, 90.00 degrees
With the nearest neighbours (Å) after each atom.
Space group F-43m (No. 216)
Symmetry-distinct sites (fractional):
Ta 0.0000 0.0000 0.0000 [4 per cell]  4 Mo 2.56
Mn 0.0000 0.0000 0.5000 [4 per cell]  4 Mo 2.56
Mo 0.2500 0.2500 0.2500 [4 per cell]  4 Ta 2.56, 4 Mn 2.56

Calculated values
The value obtained for the size of the total moment is 12.84 μB/cell. For the formation energy, the calculation gives 899 meV/atom.

Entry 16:
The following is a DFT calculation (SCAN) of a PBEsol-optimized structure of ZrRhAu3.

Cell lengths 4.9953, 4.9953, 4.9953 Å; angles 90.00, 90.00, 90.00 degrees
With the nearest neighbours (Å) after each atom.
Space group Pm-3m (No. 221)
Symmetry-distinct sites (fractional):
Zr 0.0000 0.0000 0.0000 [1 per cell]  6 Au 2.50
Rh 0.5000 0.5000 0.5000 [1 per cell]  12 Au 3.53
Au 0.0000 0.0000 0.5000 [3 per cell]  2 Zr 2.50

Calculated values
The value obtained for the size of the total moment is 2.47 μB/cell. For the formation energy, the calculation gives 1108 meV/atom.

Entry 17:
The following is a DFT calculation (SCAN) of a PBEsol-optimized structure of NiAs2SeN.

Cell lengths 4.2599, 4.2599, 4.1284 Å; angles 90.00, 90.00, 90.00 degrees
With the nearest neighbours (Å) after each atom.
Space group P4/mmm (No. 123)
Symmetry-distinct sites (fractional):
Ni 0.0000 0.0000 0.0000 [1 per cell]  8 As 2.97, 4 Se 3.01
As 0.0000 0.5000 0.5000 [2 per cell]  2 N 2.13
Se 0.5000 0.5000 0.0000 [1 per cell]  2 N 2.06
N 0.5000 0.5000 0.5000 [1 per cell]  2 Se 2.06, 4 As 2.13

Calculated values
The value obtained for the size of the total moment is 0.00 μB/cell. As for the uncorrected formation energy: 1.003 eV/atom.

Entry 18:
The following is a DFT calculation (SCAN) of a PBEsol-optimized structure of InAsBr2.

Cell lengths 7.2692, 7.2692, 7.2692 Å; angles 90.00, 90.00, 90.00 degrees
With the nearest neighbours (Å) after each atom.
Space group Fm-3m (No. 225)
Symmetry-distinct sites (fractional):
In 0.0000 0.0000 0.0000 [4 per cell]  8 Br 3.15
As 0.0000 0.0000 0.5000 [4 per cell]  8 Br 3.15
Br 0.2500 0.2500 0.2500 [8 per cell]  4 As 3.15, 4 In 3.15

Calculated values
The value obtained for the size of the total moment is 5.95 μB/cell. As for the uncorrected formation energy: 0.253 eV/atom. As for the energy relative to the lowest polymorph listed for this composition: 0.5969 eV per atom.

Entry 19:
The following is a DFT calculation (SCAN) of a PBEsol-optimized structure of K2TiBr.

Cell lengths 8.4766, 8.4766, 8.4766 Å; angles 90.00, 90.00, 90.00 degrees
With the nearest neighbours (Å) after each atom.
Space group Fm-3m (No. 225)
Symmetry-distinct sites (fractional):
K 0.2500 0.2500 0.2500 [8 per cell]  4 Br 3.67, 4 Ti 3.67
Ti 0.0000 0.0000 0.0000 [4 per cell]  8 K 3.67
Br 0.0000 0.0000 0.5000 [4 per cell]  8 K 3.67

Calculated values
The value obtained for the size of the total moment is 11.95 μB/cell. As for the uncorrected formation energy: 0.052 eV/atom.

Entry 20:
The following is a DFT calculation (SCAN) of a PBEsol-optimized structure of LuGePt.

Cell lengths 6.7771, 4.2872, 7.4612 Å; angles 90.00, 90.00, 90.00 degrees
With the nearest neighbours (Å) after each atom.
Space group Pnma (No. 62)
Symmetry-distinct sites (fractional):
Lu 0.0030 0.2500 0.2031 [4 per cell]  6 Pt 2.91-3.18, 6 Ge 2.95-3.15
Ge 0.1904 0.2500 0.5894 [4 per cell]  4 Pt 2.51-2.69
Pt 0.2063 0.7500 0.4162 [4 per cell]  4 Ge 2.51-2.69

Calculated values
The value obtained for the size of the total moment is 0.00 μB/cell. For the formation energy, the calculation gives -1368 meV/atom.